[1]
Density functional theory data (PBE) for a relaxed NaCd2Hg9 crystal.

Output
Size of the total moment in μB per cell: 0.0
Density of states at the Fermi level in states/eV/atom: 0.369

abc: 10.3511 10.3511 3.3305
angles: 90.00 90.00 120.00
Space group P6/mmm (No. 191)
Asymmetric unit:
Na (0.0000, 0.0000, 0.0000)
Cd (0.3333, 0.6667, 0.0000)
Hg (0.0000, 0.5000, 0.0000)
Hg (0.1727, 0.3455, 0.5000)

---

[2]
Density functional theory data (PBE) for a relaxed K3Na2Cd2Au4 crystal.

Output
Size of the total moment in μB per cell: 0.0
Density of states at the Fermi level in states/eV/atom: 0.313

abc: 4.8971 4.8971 16.8062
angles: 90.00 90.00 120.00
Space group P-3m1 (No. 164)
Asymmetric unit:
K (0.0000, 0.0000, 0.0000)
K (0.0000, 0.0000, 0.2643)
Na (0.3333, 0.6667, 0.5613)
Cd (0.3333, 0.6667, 0.1365)
Au (0.3333, 0.6667, 0.3812)
Au (0.3333, 0.6667, 0.8679)

---

Here are the calculated final energy numbers, same order: -0.517; -2.118 (eV per atom).